(1)
The following is a DFT calculation (GGA-PBE) of a relaxed structure of ZrBiP2O.

Energy above the lowest structure with this stoichiometry   0 meV/atom
Calculated volume   21.9 A^3/atom
Raw total energy   -6.23 eV per atom
Calculated density   5.73 g cm⁻³
E_form (uncorrected)   -592 meV/atom

Cell: 5.2392 5.2392 3.9944 Å, 90.00 90.00 90.00°
With the nearest neighbours (Å) after each atom.
Fractional positions:
O: 0.0000 0.0000 0.5000  2 Zr 2.00
P: 0.0000 0.5000 0.0000  2 Zr 2.62
P: 0.5000 0.0000 0.0000  2 Zr 2.62
Bi: 0.5000 0.5000 0.5000  8 P 3.29
Zr: 0.0000 0.0000 0.0000  2 O 2.00

(2)
The following is a DFT calculation (GGA-PBE) of a relaxed structure of ZrBiP2O.

Energy above the lowest structure with this stoichiometry   1000 meV/atom
Calculated volume   21.8 A^3/atom
Raw total energy   -5.23 eV per atom
Calculated density   5.76 g cm⁻³
E_form (uncorrected)   408 meV/atom

Cell: 5.1467 5.1467 4.1158 Å, 90.00 90.00 90.00°
With the nearest neighbours (Å) after each atom.
Fractional positions:
O: 0.0000 0.0000 0.5000  2 Bi 2.06
P: 0.0000 0.5000 0.0000  2 Bi 2.57
P: 0.5000 0.0000 0.0000  2 Bi 2.57
Bi: 0.0000 0.0000 0.0000  2 O 2.06
Zr: 0.5000 0.5000 0.5000  8 P 3.30, 4 O 3.64

(3)
The following is a DFT calculation (GGA-PBE) of a relaxed structure of Pa3BiO3.

Calculated volume   21.4 A^3/atom
Raw total energy   -8.91 eV per atom
Calculated density   10.54 g cm⁻³
E_form (uncorrected)   -2158 meV/atom

Cell: 6.8052 6.8052 8.4326 Å, 66.20 66.20 60.00°
With the nearest neighbours (Å) after each atom.
Fractional positions:
Pa: 0.2302 0.5628 0.3100  4 O 2.31-2.37
Pa: 0.8970 0.2302 0.3100  4 O 2.31-2.37
Pa: 0.5628 0.8970 0.3100  4 O 2.31-2.37
Pa: 0.4372 0.1030 0.6900  4 O 2.31-2.37
Pa: 0.1030 0.7698 0.6900  4 O 2.31-2.37
Pa: 0.7698 0.4372 0.6900  4 O 2.31-2.37
Bi: 0.3333 0.3333 0.0000  6 Pa 3.24, 6 O 3.59
Bi: 0.6667 0.6667 0.0000  6 Pa 3.24, 6 O 3.59
O: 0.4559 0.7915 0.6276  4 Pa 2.31-2.37
O: 0.7915 0.1250 0.6276  4 Pa 2.31-2.37
O: 0.1250 0.4559 0.6276  4 Pa 2.31-2.37
O: 0.8750 0.5441 0.3724  4 Pa 2.31-2.37
O: 0.2085 0.8750 0.3724  4 Pa 2.31-2.37
O: 0.5441 0.2085 0.3724  4 Pa 2.31-2.37

(4)
The following is a DFT calculation (GGA-PBE) of a relaxed structure of PaBiO.

Energy above the lowest structure with this stoichiometry   0 meV/atom
Calculated volume   21.5 A^3/atom
Raw total energy   -7.94 eV per atom
Calculated density   11.73 g cm⁻³
E_form (uncorrected)   -1826 meV/atom

Cell: 4.8297 3.9291 3.9291 Å, 120.00 90.00 90.00°
With the nearest neighbours (Å) after each atom.
Fractional positions:
Pa: 0.1667 0.0000 0.0000  3 O 2.27
Bi: 0.6667 0.6667 0.3333  6 O 3.31, 6 Pa 3.31
O: 0.1667 0.3333 0.6667  3 Pa 2.27

(5)
The following is a DFT calculation (GGA-PBE) of a relaxed structure of PaBi2O6.

Calculated volume   16.9 A^3/atom
Raw total energy   -7.03 eV per atom
Calculated density   8.14 g cm⁻³
E_form (uncorrected)   -1810 meV/atom

Cell: 4.2329 4.2329 8.9913 Å, 103.61 103.61 90.00°
With the nearest neighbours (Å) after each atom.
Fractional positions:
Pa: 0.5000 0.5000 0.0000  4 O 2.04
Bi: 0.1838 0.1838 0.3677  6 O 2.29-2.40
Bi: 0.8162 0.8162 0.6323  6 O 2.29-2.40
O: 0.8313 0.3331 0.1644  1 Pa 2.04, 1 Bi 2.29
O: 0.6669 0.6669 0.8356  1 Pa 2.04, 1 Bi 2.29
O: 0.3331 0.8313 0.1644  1 Pa 2.04, 1 Bi 2.29
O: 0.1687 0.1687 0.8356  1 Pa 2.04, 1 Bi 2.29
O: 0.7500 0.2500 0.5000  4 Bi 2.40
O: 0.2500 0.7500 0.5000  4 Bi 2.40

(6)
The following is a DFT calculation (GGA-PBE) of a relaxed structure of Pa3BiO.

Calculated volume   22.0 A^3/atom
Raw total energy   -8.47 eV per atom
Calculated density   13.86 g cm⁻³
E_form (uncorrected)   -1000 meV/atom

Cell: 4.7912 4.7912 4.7912 Å, 90.00 90.00 90.00°
With the nearest neighbours (Å) after each atom.
Fractional positions:
Pa: 0.0000 0.5000 0.0000  2 O 2.40
Pa: 0.0000 0.0000 0.5000  2 O 2.40
Pa: 0.5000 0.0000 0.0000  2 O 2.40
Bi: 0.5000 0.5000 0.5000  12 Pa 3.39
O: 0.0000 0.0000 0.0000  6 Pa 2.40

(7)
The following is a DFT calculation (GGA-PBE) of a relaxed structure of Pa4BiO10.

Calculated volume   13.8 A^3/atom
Raw total energy   -9.30 eV per atom
Calculated density   10.35 g cm⁻³
E_form (uncorrected)   -3207 meV/atom

Cell: 3.8818 3.8818 16.0606 Å, 83.06 83.06 60.00°
With the nearest neighbours (Å) after each atom.
Fractional positions:
Pa: 0.4006 0.4006 0.7982  8 O 2.22-2.39
Pa: 0.8004 0.8004 0.5988  8 O 2.34-2.37
Pa: 0.1996 0.1996 0.4012  8 O 2.34-2.37
Pa: 0.5994 0.5994 0.2018  8 O 2.22-2.39
Bi: 0.0000 0.0000 0.0000  8 O 2.45-2.58
O: 0.9460 0.9460 0.1621  3 Pa 2.33, 1 Bi 2.58
O: 0.1501 0.1501 0.5498  4 Pa 2.36-2.37
O: 0.5492 0.5492 0.3523  4 Pa 2.37-2.39
O: 0.3540 0.3540 0.9379  1 Pa 2.22, 3 Bi 2.45
O: 0.7514 0.7514 0.7459  4 Pa 2.34-2.39
O: 0.6460 0.6460 0.0621  1 Pa 2.22, 3 Bi 2.45
O: 0.8499 0.8499 0.4502  4 Pa 2.36-2.37
O: 0.2486 0.2486 0.2541  4 Pa 2.34-2.39
O: 0.0540 0.0540 0.8379  3 Pa 2.33, 1 Bi 2.58
O: 0.4508 0.4508 0.6477  4 Pa 2.37-2.39

(8)
The following is a DFT calculation (GGA-PBE) of a relaxed structure of PaBi4O10.

Calculated volume   14.0 A^3/atom
Raw total energy   -6.56 eV per atom
Calculated density   9.73 g cm⁻³
E_form (uncorrected)   -1588 meV/atom

Cell: 5.5128 6.7526 6.7526 Å, 80.41 65.91 65.91°
With the nearest neighbours (Å) after each atom.
Fractional positions:
Pa: 0.0000 0.0000 0.0000  8 O 2.32
Bi: 0.4003 0.7992 0.4001  8 O 2.38-2.41
Bi: 0.8005 0.5999 0.7992  8 O 2.38-2.41
Bi: 0.1995 0.4001 0.2008  8 O 2.38-2.41
Bi: 0.5997 0.2008 0.5999  8 O 2.38-2.41
O: 0.2500 0.5000 0.5000  4 Bi 2.38
O: 0.6596 0.2920 0.9032  1 Pa 2.32, 3 Bi 2.41
O: 0.0484 0.0968 0.2920  1 Pa 2.32, 3 Bi 2.41
O: 0.4372 0.9032 0.7080  1 Pa 2.32, 3 Bi 2.41
O: 0.8547 0.7080 0.0968  1 Pa 2.32, 3 Bi 2.41
O: 0.3404 0.7080 0.0968  1 Pa 2.32, 3 Bi 2.41
O: 0.7500 0.5000 0.5000  4 Bi 2.38
O: 0.1453 0.2920 0.9032  1 Pa 2.32, 3 Bi 2.41
O: 0.5628 0.0968 0.2920  1 Pa 2.32, 3 Bi 2.41
O: 0.9516 0.9032 0.7080  1 Pa 2.32, 3 Bi 2.41

(9)
The following is a DFT calculation (GGA-PBE) of a relaxed structure of PaBiO6.

Calculated volume   19.2 A^3/atom
Raw total energy   -6.95 eV per atom
Calculated density   5.81 g cm⁻³
E_form (uncorrected)   -1564 meV/atom

Cell: 6.0031 6.0030 6.0119 Å, 60.05 60.04 60.00°
With the nearest neighbours (Å) after each atom.
Fractional positions:
Pa: 0.5000 0.5000 0.5000  6 O 2.13
Bi: 0.0000 0.0000 0.0000  6 O 2.12
O: 0.2472 0.2524 0.7503  1 Bi 2.12, 1 Pa 2.13
O: 0.7503 0.2473 0.7501  1 Bi 2.12, 1 Pa 2.13
O: 0.7476 0.2497 0.2499  1 Bi 2.12, 1 Pa 2.13
O: 0.2497 0.7527 0.2499  1 Bi 2.12, 1 Pa 2.13
O: 0.7528 0.7476 0.2497  1 Bi 2.12, 1 Pa 2.13
O: 0.2524 0.7503 0.7501  1 Bi 2.12, 1 Pa 2.13

(10)
The following is a DFT calculation (GGA-PBE) of a relaxed structure of PaBiO.

Energy above the lowest structure with this stoichiometry   74 meV/atom
Calculated volume   24.0 A^3/atom
Raw total energy   -7.86 eV per atom
Calculated density   10.50 g cm⁻³
E_form (uncorrected)   -1752 meV/atom

Cell: 6.1627 6.1627 6.5561 Å, 72.54 72.54 37.65°
With the nearest neighbours (Å) after each atom.
Fractional positions:
Pa: 0.8450 0.8450 0.7705  3 O 2.20-2.28
Pa: 0.1550 0.1550 0.2295  3 O 2.20-2.28
Bi: 0.5856 0.5856 0.6810  5 Pa 3.26-3.44, 4 O 3.44-3.51, 1 Bi 3.55
Bi: 0.4144 0.4144 0.3190  5 Pa 3.26-3.44, 4 O 3.44-3.51, 1 Bi 3.55
O: 0.7317 0.7317 0.1251  3 Pa 2.20-2.28
O: 0.2683 0.2683 0.8749  3 Pa 2.20-2.28

(11)
The following is a DFT calculation (GGA-PBE) of a relaxed structure of PaBiO4.

Calculated volume   16.5 A^3/atom
Raw total energy   -8.13 eV per atom
Calculated density   8.44 g cm⁻³
E_form (uncorrected)   -2600 meV/atom

Cell: 3.6269 5.2287 5.2286 Å, 89.28 90.00 90.00°
With the nearest neighbours (Å) after each atom.
Fractional positions:
Pa: 0.5000 0.0000 0.0000  6 O 2.13-2.25
Bi: 0.0000 0.5000 0.5000  6 O 2.38-2.39
O: 0.5000 0.2895 0.7105  1 Pa 2.13
O: 0.0000 0.8218 0.8218  2 Pa 2.25, 1 Bi 2.39
O: 0.0000 0.1782 0.1782  2 Pa 2.25, 1 Bi 2.39
O: 0.5000 0.7105 0.2895  1 Pa 2.13